CeZnCo3 | PBE-GGA | relaxed

Calculated values
energy of formation from the pure elements	50	meV per atom
electronic total energy	-0.41561	Ry per atom
space group	No. 99
DOS at the Fermi energy	7.20	states/eV/f.u.

a b c (Å): 3.560 3.560 6.060
angles (deg): 90.00 90.00 90.00
Each line ends with the local moment (μB).
Sites, in units of the cell vectors:
Co (0.000, 0.500, 0.401)  1.03
Zn (0.500, 0.500, 0.702)  -0.01
Co (0.500, 0.000, 0.401)  1.03
Co (0.000, 0.000, 0.700)  0.22
Ce (0.000, 0.000, 0.060)  -0.35